[1]
TaP2Ru | PBE | optimized geometry

CIF file:
```
data_TaP2Ru
_cell_length_a 7.134
_cell_length_b 3.099
_cell_length_c 5.494
_cell_angle_alpha 90.00
_cell_angle_beta 103.08
_cell_angle_gamma 90.00
_space_group_name_H-M_alt 'C 1 2/m 1'
_space_group_IT_number 12
loop_
_space_group_symop_operation_xyz
'x,y,z'
'-x,-y,-z'
'-x,y,-z'
'x,-y,z'
'x+1/2,y+1/2,z'
'-x+1/2,-y+1/2,-z'
'-x+1/2,y+1/2,-z'
'x+1/2,-y+1/2,z'
loop_
_atom_site_label
_atom_site_fract_x
_atom_site_fract_y
_atom_site_fract_z
Ta1 0.000 0.000 0.000
P1 0.248 0.000 0.724
Ru1 0.000 0.500 0.500
```

Calculated volume = 118 Å³ per cell
E = -66.12 eV/cell
N(E_F) = 0.480 states/eV/atom

=====

[2]
TaP2Ru | PBE | optimized geometry

CIF file:
```
data_TaP2Ru
_cell_length_a 5.351
_cell_length_b 5.351
_cell_length_c 11.011
_cell_angle_alpha 90.00
_cell_angle_beta 90.00
_cell_angle_gamma 90.00
_space_group_name_H-M_alt 'I -4 2 d'
_space_group_IT_number 122
_space_group_name_Hall 'I -4 2bw'
loop_
_atom_site_label
_atom_site_fract_x
_atom_site_fract_y
_atom_site_fract_z
Ta1 0.000 0.000 0.000
P1 0.224 0.250 0.625
Ru1 0.000 0.000 0.500
```

Calculated volume = 315 Å³ per cell
E = -129.16 eV/cell
N(E_F) = 0.578 states/eV/atom

=====

[3]
TaPRu | PBE | optimized geometry

CIF file:
```
data_TaPRu
_cell_length_a 6.325
_cell_length_b 3.742
_cell_length_c 7.211
_cell_angle_alpha 90.00
_cell_angle_beta 90.00
_cell_angle_gamma 90.00
_space_group_name_H-M_alt 'P n m a'
_space_group_IT_number 62
loop_
_space_group_symop_operation_xyz
'x,y,z'
'-x,-y,-z'
'-x+1/2,-y,z+1/2'
'x+1/2,y,-z+1/2'
'x+1/2,-y+1/2,-z+1/2'
'-x+1/2,y+1/2,z+1/2'
'-x,y+1/2,-z'
'x,-y+1/2,z'
loop_
_atom_site_label
_atom_site_fract_x
_atom_site_fract_y
_atom_site_fract_z
Ta1 0.024 0.250 0.172
P1 0.233 0.750 0.376
Ru1 0.145 0.250 0.564
```

Calculated volume = 171 Å³ per cell
E = -115.52 eV/cell
N(E_F) = 0.187 states/eV/atom

=====

[4]
TaP2Ru | PBE | optimized geometry

CIF file:
```
data_TaP2Ru
_cell_length_a 6.187
_cell_length_b 6.187
_cell_length_c 6.187
_cell_angle_alpha 90.00
_cell_angle_beta 90.00
_cell_angle_gamma 90.00
_space_group_name_H-M_alt 'F -4 3 m'
_space_group_IT_number 216
_space_group_name_Hall 'F -4 2 3'
loop_
_atom_site_label
_atom_site_fract_x
_atom_site_fract_y
_atom_site_fract_z
Ta1 0.000 0.000 0.000
P1 0.000 0.000 0.500
P2 0.250 0.250 0.750
Ru1 0.250 0.250 0.250
```

Calculated volume = 237 Å³ per cell
E = -125.05 eV/cell
N(E_F) = 1.182 states/eV/atom

=====

[5]
TaP2Ru | PBE | optimized geometry

CIF file:
```
data_TaP2Ru
_cell_length_a 4.262
_cell_length_b 4.262
_cell_length_c 3.038
_cell_angle_alpha 90.00
_cell_angle_beta 90.00
_cell_angle_gamma 90.00
_space_group_name_H-M_alt 'P 4/m m m'
_space_group_IT_number 123
_space_group_name_Hall '-P 4 2'
loop_
_atom_site_label
_atom_site_fract_x
_atom_site_fract_y
_atom_site_fract_z
Ta1 0.000 0.000 0.000
P1 0.000 0.500 0.500
Ru1 0.500 0.500 0.000
```

Calculated volume = 55 Å³ per cell
E = -33.82 eV/cell
N(E_F) = 0.489 states/eV/atom

=====

[6]
Ta2PRu | PBE | optimized geometry

CIF file:
```
data_Ta2PRu
_cell_length_a 5.300
_cell_length_b 5.300
_cell_length_c 12.775
_cell_angle_alpha 90.00
_cell_angle_beta 90.00
_cell_angle_gamma 90.00
_space_group_name_H-M_alt 'I -4 2 d'
_space_group_IT_number 122
_space_group_name_Hall 'I -4 2bw'
loop_
_atom_site_label
_atom_site_fract_x
_atom_site_fract_y
_atom_site_fract_z
Ta1 0.243 0.250 0.125
P1 0.000 0.000 0.000
Ru1 0.000 0.000 0.500
```

Calculated volume = 359 Å³ per cell
E = -143.77 eV/cell
N(E_F) = 0.507 states/eV/atom